Record 1
The following is a DFT calculation (PBE-GGA) of MgCuSe after structural relaxation.

Structure (CIF):
```
data_MgCuSe
_space_group_name_H-M_alt 'A m m 2'
_space_group_IT_number 38
_space_group_name_Hall 'A 2 -2'
_cell_length_a 3.7912
_cell_length_b 11.0031
_cell_length_c 8.0433
_cell_angle_alpha 90.00
_cell_angle_beta 90.00
_cell_angle_gamma 90.00
loop_
_atom_site_label
_atom_site_type_symbol
_atom_site_fract_x
_atom_site_fract_y
_atom_site_fract_z
Mg1 Mg 0.0000 0.0000 0.0000
Mg2 Mg 0.0000 0.2204 0.4175
Cu1 Cu 0.5000 0.0000 0.3168
Cu2 Cu 0.5000 0.1071 0.7990
Se1 Se 0.0000 0.0000 0.5211
Se2 Se 0.5000 0.1969 0.1604
```

Record 2
The following is a DFT calculation (PBE-GGA) of MgCuSe after structural relaxation.

Structure (CIF):
```
data_MgCuSe
_space_group_name_H-M_alt 'P 21 3'
_space_group_IT_number 198
_space_group_name_Hall 'P 2ac 2ab 3'
_cell_length_a 6.2027
_cell_length_b 6.2027
_cell_length_c 6.2027
_cell_angle_alpha 90.00
_cell_angle_beta 90.00
_cell_angle_gamma 90.00
loop_
_atom_site_label
_atom_site_type_symbol
_atom_site_fract_x
_atom_site_fract_y
_atom_site_fract_z
Mg1 Mg 0.1577 0.3423 0.6577
Cu1 Cu 0.2296 0.2296 0.2296
Se1 Se 0.0936 0.9064 0.4064
```

Record 3
The following is a DFT calculation (PBE-GGA) of MgCu4Se after structural relaxation.

Structure (CIF):
```
data_MgCu4Se
_space_group_name_H-M_alt 'P m m a'
_space_group_IT_number 51
_space_group_name_Hall '-P 2a 2a'
_cell_length_a 7.7577
_cell_length_b 3.7206
_cell_length_c 6.3056
_cell_angle_alpha 90.00
_cell_angle_beta 90.00
_cell_angle_gamma 90.00
loop_
_atom_site_label
_atom_site_type_symbol
_atom_site_fract_x
_atom_site_fract_y
_atom_site_fract_z
Mg1 Mg 0.2500 0.0000 0.1452
Cu1 Cu 0.0000 0.0000 0.5000
Cu2 Cu 0.0116 0.5000 0.7958
Cu3 Cu 0.2500 0.5000 0.4489
Se1 Se 0.2500 0.0000 0.7387
```

The records above yield magnetization values of 0.00; 0.00; 0.00 μB per formula unit, respectively.
The records above yield energy above the most stable polymorph in this dataset values of 113; 291; 34 meV per atom, respectively.
The records above yield formation energy from raw total energies values of -38.9; -21.6; -0.8 kJ per mole of atoms, respectively.